This record from Alexandria describes CsCdGaI4 after structural relaxation. The functional is PBE-GGA.

a = 7.9745 Å, b = 8.4529 Å, c = 10.4944 Å
α = 90.00°, β = 107.47°, γ = 90.00°
Closest atoms and distances in Å follow each position.
Fractional coordinates of all 14 atoms:
Cs  0.2310  0.2500  0.0450  6 I 3.89-4.07
Cs  0.7690  0.7500  0.9550  6 I 3.89-4.07
Cd  0.2380  0.7500  0.3261  4 I 2.80-2.86
Cd  0.7620  0.2500  0.6739  4 I 2.80-2.86
Ga  0.1946  0.2500  0.5123  3 I 3.15-3.17
Ga  0.8054  0.7500  0.4877  3 I 3.15-3.17
I  0.0012  0.5102  0.7164  1 Cd 2.86, 1 Ga 3.17
I  0.0012  0.9898  0.7164  1 Cd 2.86, 1 Ga 3.17
I  0.3722  0.7500  0.1079  1 Cd 2.80
I  0.4691  0.7500  0.5860  1 Cd 2.80
I  0.5309  0.2500  0.4140  1 Cd 2.80
I  0.6278  0.2500  0.8921  1 Cd 2.80
I  0.9988  0.0102  0.2836  1 Cd 2.86, 1 Ga 3.17
I  0.9988  0.4898  0.2836  1 Cd 2.86, 1 Ga 3.17

- energy relative to the elements, uncorrected (eV/atom) = -0.795
- DOS(E_F) (states/eV per cell) = 0.0
- uncorrected energy (eV per atom) = -2.37
- spin magnetization (μB per formula unit) = 0.0

***

This record from Alexandria describes CsInI2O after structural relaxation. The functional is PBE-GGA.

a = 6.4179 Å, b = 6.4179 Å, c = 4.0670 Å
α = 90.00°, β = 90.00°, γ = 90.00°
Closest atoms and distances in Å follow each position.
Fractional coordinates of all 5 atoms:
Cs  0.0000  0.0000  0.0000  8 I 3.80, 2 Cs 4.07
In  0.5000  0.5000  0.5000  2 O 2.03
I  0.0000  0.5000  0.5000  2 In 3.21
I  0.5000  0.0000  0.5000  2 In 3.21
O  0.5000  0.5000  0.0000  2 In 2.03

- energy relative to the elements, uncorrected (eV/atom) = -0.971
- DOS(E_F) (states/eV per cell) = 1.2
- uncorrected energy (eV per atom) = -3.30
- spin magnetization (μB per formula unit) = 0.0

***

This record from Alexandria describes CsSbH2 after structural relaxation. The functional is PBE-GGA.

a = 4.8988 Å, b = 4.8988 Å, c = 4.8988 Å
α = 60.00°, β = 60.00°, γ = 60.00°
Closest atoms and distances in Å follow each position.
Fractional coordinates of all 4 atoms:
Cs  0.0000  0.0000  0.0000  8 H 3.00
Sb  0.5000  0.5000  0.5000  8 H 3.00
H  0.2500  0.2500  0.2500  4 Sb 3.00, 4 Cs 3.00
H  0.7500  0.7500  0.7500  4 Sb 3.00, 4 Cs 3.00

- DOS(E_F) (states/eV per cell) = 1.9
- uncorrected energy (eV per atom) = -2.21
- spin magnetization (μB per formula unit) = 0.0